Compound: Li2AgPd6
Source: the Alexandria database
Functional: PBE
Structure: relaxed

abc: 6.884 6.884 7.162
angles: 115.56 115.56 84.89
Sites, in units of the cell vectors:
Li  0.070  0.280  0.423
Li  0.280  0.070  0.923
Li  0.720  0.930  0.077
Li  0.930  0.720  0.577
Ag  0.345  0.655  0.750
Ag  0.655  0.345  0.250
Pd  0.067  0.816  0.013
Pd  0.136  0.396  0.845
Pd  0.184  0.933  0.487
Pd  0.280  0.508  0.309
Pd  0.396  0.136  0.345
Pd  0.492  0.720  0.191
Pd  0.508  0.280  0.809
Pd  0.604  0.864  0.655
Pd  0.720  0.492  0.691
Pd  0.816  0.067  0.513
Pd  0.864  0.604  0.155
Pd  0.933  0.184  0.987

Results
As for the excess energy over the best structure of this formula in the dataset: 0.000 eV per atom. As for the density of states at the Fermi level: 18.28 states/eV/cell. The volume is 15.24 Å³ per atom. As for the final energy: -39.29 eV/f.u.